(1)
The following is a meta-GGA SCAN calculation of a PBEsol-optimized structure of InBIN2, from the Alexandria database.

## Properties
formation energy from raw total energies	10.2	eV/f.u.
SG	No. 123
DFT total energy	-17.192	eV/atom
ΔE to the lowest computed polymorph	0.117	eV/atom

Cell lengths 4.1495, 4.1495, 6.3306 Å; angles 90.00, 90.00, 90.00 degrees
Closest atoms and distances in Å follow each position.
Element x y z (fractional)
1 I 0.0000 0.0000 0.5000  4 B 2.93, 2 In 3.17
2 B 0.5000 0.5000 0.5000  4 I 2.93
3 In 0.0000 0.0000 0.0000  4 N 2.07
4 N 0.5000 0.0000 0.0000  2 In 2.07
5 N 0.0000 0.5000 0.0000  2 In 2.07

---

(2)
The following is a meta-GGA SCAN calculation of a PBEsol-optimized structure of Mg3MoSe, from the Alexandria database.

## Properties
formation energy from raw total energies	2.7	eV/f.u.
SG	No. 221
DFT total energy	-13.434	eV/atom

Cell lengths 4.9333, 4.9333, 4.9333 Å; angles 90.00, 90.00, 90.00 degrees
Closest atoms and distances in Å follow each position.
Element x y z (fractional)
1 Se 0.0000 0.0000 0.0000  6 Mg 2.47
2 Mo 0.5000 0.5000 0.5000  12 Mg 3.49
3 Mg 0.0000 0.5000 0.0000  2 Se 2.47
4 Mg 0.0000 0.0000 0.5000  2 Se 2.47
5 Mg 0.5000 0.0000 0.0000  2 Se 2.47

---

(3)
The following is a meta-GGA SCAN calculation of a PBEsol-optimized structure of TiAg3Os, from the Alexandria database.

## Properties
SG	No. 221
DFT total energy	-34.841	eV/atom
ΔE_f	36.0	kcal/mol of atoms

Cell lengths 4.8964, 4.8964, 4.8964 Å; angles 90.00, 90.00, 90.00 degrees
Closest atoms and distances in Å follow each position.
Element x y z (fractional)
1 Ag 0.0000 0.0000 0.5000  2 Os 2.45
2 Ag 0.5000 0.0000 0.0000  2 Os 2.45
3 Os 0.0000 0.0000 0.0000  6 Ag 2.45
4 Ag 0.0000 0.5000 0.0000  2 Os 2.45
5 Ti 0.5000 0.5000 0.5000  12 Ag 3.46

---

(4)
The following is a meta-GGA SCAN calculation of a PBEsol-optimized structure of Mn3InPt, from the Alexandria database.

## Properties
SG	No. 221
DFT total energy	-30.615	eV/atom
ΔE_f	24.3	kcal/mol of atoms

Cell lengths 4.7706, 4.7706, 4.7706 Å; angles 90.00, 90.00, 90.00 degrees
Closest atoms and distances in Å follow each position.
Element x y z (fractional)
1 Mn 0.5000 0.0000 0.0000  2 In 2.39
2 Mn 0.0000 0.5000 0.0000  2 In 2.39
3 In 0.0000 0.0000 0.0000  6 Mn 2.39
4 Pt 0.5000 0.5000 0.5000  12 Mn 3.37
5 Mn 0.0000 0.0000 0.5000  2 In 2.39

---

(5)
The following is a meta-GGA SCAN calculation of a PBEsol-optimized structure of SrAl2Tl, from the Alexandria database.

## Properties
SG	No. 123
DFT total energy	-27.575	eV/atom
ΔE_f	-0.9	kcal/mol of atoms
ΔE to the lowest computed polymorph	0.022	eV/atom

Cell lengths 4.5924, 4.5786, 4.5786 Å; angles 90.00, 90.00, 90.00 degrees
Closest atoms and distances in Å follow each position.
Element x y z (fractional)
1 Sr 0.5000 0.0000 0.0000  4 Tl 3.24, 8 Al 3.24
2 Tl 0.5000 0.5000 0.5000  4 Sr 3.24, 8 Al 3.24
3 Al 0.0000 0.5000 0.0000  4 Al 3.24, 4 Tl 3.24, 4 Sr 3.24
4 Al 0.0000 0.0000 0.5000  4 Al 3.24, 4 Sr 3.24, 4 Tl 3.24

---

(6)
The following is a meta-GGA SCAN calculation of a PBEsol-optimized structure of YAg2Te, from the Alexandria database.

## Properties
formation energy from raw total energies	-1.3	eV/f.u.
SG	No. 119
DFT total energy	-32.284	eV/atom

Cell lengths 4.3590, 4.3590, 5.5860 Å; angles 112.96, 112.96, 90.00 degrees
Closest atoms and distances in Å follow each position.
Element x y z (fractional)
1 Ag 0.7500 0.2500 0.5000  4 Y 3.08, 4 Ag 3.19, 4 Te 3.19
2 Ag 0.0000 0.0000 0.0000  4 Te 3.08, 4 Y 3.19, 4 Ag 3.19
3 Y 0.2500 0.7500 0.5000  8 Ag 3.08-3.19, 4 Te 3.19
4 Te 0.5000 0.5000 0.0000  8 Ag 3.08-3.19, 4 Y 3.19